Record 1
A relaxed structure of Ac4Co7Ge6. Source: the Alexandria database, functional GGA-PBE.

## Properties
Raw total energy (eV/atom): -5.822
DOS(E_F) (states/eV/f.u.): 9.90
V (Å³/f.u.): 325.3

Cell: 8.6647 8.6647 8.6647 Å, 90.00 90.00 90.00°
Space group Im-3m (No. 229)
One atom of each set of equivalent atoms:
Ac (0.2500, 0.2500, 0.2500) x8
Co (0.0000, 0.0000, 0.0000) x2
Co (0.0000, 0.2500, 0.5000) x12
Ge (0.0000, 0.0000, 0.3507) x12

Record 2
A relaxed structure of Ac2CoGe2. Source: the Alexandria database, functional GGA-PBE.

## Properties
Raw total energy (eV/atom): -5.442
DOS(E_F) (states/eV/f.u.): 4.09
V (Å³/f.u.): 126.9

Cell: 11.8410 4.3769 11.4366 Å, 90.00 121.11 90.00°
Space group C2/m (No. 12)
One atom of each set of equivalent atoms:
Ac (0.0752, 0.0000, 0.4019) x4
Ac (0.1508, 0.5000, 0.1562) x4
Co (0.1716, 0.5000, 0.8879) x4
Ge (0.1056, 0.0000, 0.9225) x4
Ge (0.1534, 0.5000, 0.6548) x4

Record 3
A relaxed structure of Ac7CoGe4. Source: the Alexandria database, functional GGA-PBE.

## Properties
Raw total energy (eV/atom): -4.878
DOS(E_F) (states/eV/f.u.): 7.36
V (Å³/f.u.): 407.2

Cell: 16.0279 5.4541 11.4430 Å, 90.00 125.51 90.00°
Space group C2/m (No. 12)
One atom of each set of equivalent atoms:
Ac (0.0000, 0.0000, 0.0000) x2
Ac (0.0793, 0.5000, 0.2785) x4
Ac (0.1402, 0.0000, 0.5466) x4
Ac (0.2112, 0.5000, 0.8651) x4
Co (0.0000, 0.5000, 0.0000) x2
Ge (0.0776, 0.0000, 0.7776) x4
Ge (0.2278, 0.0000, 0.3483) x4

Record 4
A relaxed structure of AcCo2Ge5. Source: the Alexandria database, functional GGA-PBE.

## Properties
Raw total energy (eV/atom): -5.489
DOS(E_F) (states/eV/f.u.): 3.14
V (Å³/f.u.): 146.6

Cell: 4.0940 6.7152 10.6682 Å, 90.00 90.00 90.00°
Space group Immm (No. 71)
One atom of each set of equivalent atoms:
Ac (0.0000, 0.0000, 0.0000) x2
Co (0.0000, 0.5000, 0.2062) x4
Ge (0.0000, 0.2065, 0.3379) x8
Ge (0.0000, 0.5000, 0.0000) x2

Record 5
A relaxed structure of Ac4CoGe2. Source: the Alexandria database, functional GGA-PBE.

## Properties
Raw total energy (eV/atom): -5.081
DOS(E_F) (states/eV/f.u.): 5.69
V (Å³/f.u.): 217.0

Cell: 12.2663 4.6971 9.0347 Å, 90.00 123.50 90.00°
Space group C2/m (No. 12)
One atom of each set of equivalent atoms:
Ac (0.0814, 0.0000, 0.3590) x4
Ac (0.1758, 0.5000, 0.0709) x4
Co (0.0000, 0.0000, 0.0000) x2
Ge (0.1234, 0.5000, 0.6453) x4

Record 6
A relaxed structure of AcCo3Ge2. Source: the Alexandria database, functional GGA-PBE.

## Properties
Raw total energy (eV/atom): -6.133
DOS(E_F) (states/eV/f.u.): 5.66
V (Å³/f.u.): 103.1

Cell: 15.6028 3.9916 7.2887 Å, 90.00 114.67 90.00°
Space group C2/m (No. 12)
One atom of each set of equivalent atoms:
Ac (0.1502, 0.0000, 0.0685) x4
Co (0.0350, 0.0000, 0.3843) x4
Co (0.0817, 0.5000, 0.6290) x4
Co (0.1844, 0.5000, 0.4495) x4
Ge (0.0234, 0.5000, 0.2073) x4
Ge (0.1855, 0.0000, 0.6491) x4

Record 7
A relaxed structure of Ac12Co2Ge5. Source: the Alexandria database, functional GGA-PBE.

## Properties
Raw total energy (eV/atom): -4.890
DOS(E_F) (states/eV/f.u.): 19.41
V (Å³/f.u.): 702.9

Cell: 17.8513 8.1882 10.0187 Å, 90.00 106.27 90.00°
Space group C2/m (No. 12)
One atom of each set of equivalent atoms:
Ac (0.0023, 0.0000, 0.2145) x4
Ac (0.0070, 0.5000, 0.8170) x4
Ac (0.1462, 0.2509, 0.5696) x8
Ac (0.1684, 0.2372, 0.0886) x8
Co (0.0000, 0.2370, 0.0000) x4
Ge (0.0000, 0.5000, 0.5000) x2
Ge (0.1877, 0.0000, 0.8317) x4
Ge (0.2003, 0.0000, 0.3640) x4

Record 8
A relaxed structure of Ac4CoGe3. Source: the Alexandria database, functional GGA-PBE.

## Properties
Raw total energy (eV/atom): -5.179
DOS(E_F) (states/eV/f.u.): 9.12
V (Å³/f.u.): 231.9

Cell: 4.2907 4.6331 11.6645 Å, 90.00 90.00 90.00°
Space group Pmm2 (No. 25)
One atom of each set of equivalent atoms:
Ac (0.0000, 0.0000, 0.0000) x1
Ac (0.0000, 0.5000, 0.4823) x1
Ac (0.5000, 0.0000, 0.7070) x1
Ac (0.5000, 0.5000, 0.2134) x1
Co (0.0000, 0.0000, 0.2973) x1
Ge (0.0000, 0.5000, 0.7790) x1
Ge (0.5000, 0.0000, 0.4066) x1
Ge (0.5000, 0.5000, 0.9235) x1

Record 9
A relaxed structure of AcCo4Ge12. Source: the Alexandria database, functional GGA-PBE.

## Properties
Raw total energy (eV/atom): -5.303
DOS(E_F) (states/eV/f.u.): 14.25
V (Å³/f.u.): 305.3

Cell: 8.4841 8.4841 8.4841 Å, 90.00 90.00 90.00°
Space group Im-3 (No. 204)
One atom of each set of equivalent atoms:
Ac (0.0000, 0.0000, 0.0000) x2
Co (0.2500, 0.2500, 0.2500) x8
Ge (0.0000, 0.1748, 0.3479) x24

Record 10
A relaxed structure of Ac3Co2Ge4. Source: the Alexandria database, functional GGA-PBE.

## Properties
Raw total energy (eV/atom): -5.580
DOS(E_F) (states/eV/f.u.): 9.48
V (Å³/f.u.): 216.0

Cell: 11.8105 4.2456 8.6930 Å, 90.00 97.62 90.00°
Space group C2/m (No. 12)
One atom of each set of equivalent atoms:
Ac (0.0000, 0.0000, 0.0000) x2
Ac (0.1591, 0.5000, 0.6561) x4
Co (0.1044, 0.5000, 0.2757) x4
Ge (0.0628, 0.0000, 0.3740) x4
Ge (0.2231, 0.5000, 0.0792) x4

Record 11
A relaxed structure of Ac2Co5Ge4. Source: the Alexandria database, functional GGA-PBE.

## Properties
Raw total energy (eV/atom): -6.057
DOS(E_F) (states/eV/f.u.): 8.95
V (Å³/f.u.): 192.0

Cell: 5.5923 9.9306 13.8300 Å, 90.00 90.00 90.00°
Space group Fmmm (No. 69)
One atom of each set of equivalent atoms:
Ac (0.0000, 0.0000, 0.1350) x8
Co (0.0000, 0.0000, 0.5000) x4
Co (0.2500, 0.2500, 0.0000) x8
Co (0.2500, 0.2500, 0.2500) x8
Ge (0.0000, 0.1637, 0.3730) x16

Record 12
A relaxed structure of Ac3Co2Ge4. Source: the Alexandria database, functional GGA-PBE.

## Properties
Raw total energy (eV/atom): -5.564
DOS(E_F) (states/eV/f.u.): 5.53
V (Å³/f.u.): 208.8

Cell: 11.9162 4.3135 8.5134 Å, 90.00 107.43 90.00°
Space group C2/m (No. 12)
One atom of each set of equivalent atoms:
Ac (0.0000, 0.0000, 0.0000) x2
Ac (0.1102, 0.5000, 0.6868) x4
Co (0.2032, 0.5000, 0.3703) x4
Ge (0.1235, 0.0000, 0.3961) x4
Ge (0.2148, 0.5000, 0.0836) x4

Record 13
A relaxed structure of AcCo3Ge2. Source: the Alexandria database, functional GGA-PBE.

## Properties
Raw total energy (eV/atom): -6.133
DOS(E_F) (states/eV/f.u.): 2.74
V (Å³/f.u.): 96.7

Cell: 5.5516 5.5516 3.6228 Å, 90.00 90.00 120.00°
Space group P6/mmm (No. 191)
One atom of each set of equivalent atoms:
Ac (0.0000, 0.0000, 0.0000) x1
Co (0.0000, 0.5000, 0.5000) x3
Ge (0.3333, 0.6667, 0.0000) x2

Record 14
A relaxed structure of Ac12Co6Ge. Source: the Alexandria database, functional GGA-PBE.

## Properties
Raw total energy (eV/atom): -5.157
DOS(E_F) (states/eV/f.u.): 15.09
V (Å³/f.u.): 589.6

Cell: 10.5646 10.5646 10.5646 Å, 90.00 90.00 90.00°
Space group Im-3 (No. 204)
One atom of each set of equivalent atoms:
Ac (0.0000, 0.1866, 0.3095) x24
Co (0.0000, 0.3909, 0.5000) x12
Ge (0.0000, 0.0000, 0.0000) x2

Record 15
A relaxed structure of AcCoGe. Source: the Alexandria database, functional GGA-PBE.

## Properties
Raw total energy (eV/atom): -5.522
DOS(E_F) (states/eV/f.u.): 1.65
V (Å³/f.u.): 73.4

Cell: 6.7746 6.7746 6.3997 Å, 90.00 90.00 90.00°
Space group P4_12_12 (No. 92)
One atom of each set of equivalent atoms:
Ac (0.2147, 0.2147, 0.0000) x4
Co (0.1315, 0.8685, 0.7500) x4
Ge (0.1265, 0.1265, 0.5000) x4

Record 16
A relaxed structure of AcCoGe. Source: the Alexandria database, functional GGA-PBE.

## Properties
Raw total energy (eV/atom): -5.787
DOS(E_F) (states/eV/f.u.): 1.40
V (Å³/f.u.): 68.2

Cell: 4.2560 4.2560 7.5353 Å, 90.00 90.00 90.00°
Space group P4/nmm (No. 129, origin choice 2)
One atom of each set of equivalent atoms:
Ac (0.2500, 0.2500, 0.1952) x2
Co (0.2500, 0.7500, 0.5000) x2
Ge (0.2500, 0.2500, 0.6583) x2

Record 17
A relaxed structure of Ac12CoGe6. Source: the Alexandria database, functional GGA-PBE.

## Properties
Raw total energy (eV/atom): -4.820
DOS(E_F) (states/eV/f.u.): 22.62
V (Å³/f.u.): 713.3

Cell: 13.8347 13.8347 12.9100 Å, 90.00 90.00 120.00°
Space group R-3 (No. 148, hexagonal axes)
One atom of each set of equivalent atoms:
Ac (0.0331, 0.8257, 0.3927) x18
Ac (0.0472, 0.8494, 0.8841) x18
Co (0.0000, 0.0000, 0.0000) x3
Ge (0.0499, 0.7757, 0.6491) x18

Record 18
A relaxed structure of AcCoGeH. Source: the Alexandria database, functional GGA-PBE.

## Properties
Raw total energy (eV/atom): -5.367
DOS(E_F) (states/eV/f.u.): 2.81
V (Å³/f.u.): 71.1

Cell: 4.1028 4.1028 8.4521 Å, 90.00 90.00 90.00°
Space group P4/nmm (No. 129, origin choice 2)
One atom of each set of equivalent atoms:
Ac (0.2500, 0.2500, 0.1792) x2
Co (0.2500, 0.7500, 0.5000) x2
Ge (0.2500, 0.2500, 0.6426) x2
H (0.2500, 0.7500, 0.0000) x2

Record 19
A relaxed structure of AcCo2GeH. Source: the Alexandria database, functional GGA-PBE.

## Properties
Raw total energy (eV/atom): -5.548
DOS(E_F) (states/eV/f.u.): 5.80
V (Å³/f.u.): 75.5

Cell: 4.0222 11.0697 6.7804 Å, 90.00 90.00 90.00°
Space group Cmcm (No. 63)
One atom of each set of equivalent atoms:
Ac (0.0000, 0.0702, 0.2500) x4
Co (0.0000, 0.3325, 0.0597) x8
Ge (0.0000, 0.2118, 0.7500) x4
H (0.0000, 0.5000, 0.0000) x4

Record 20
A relaxed structure of AcCo2GeH2. Source: the Alexandria database, functional GGA-PBE.

## Properties
Raw total energy (eV/atom): -5.199
DOS(E_F) (states/eV/f.u.): 2.94
V (Å³/f.u.): 91.1

Cell: 5.8434 5.0789 6.4561 Å, 90.00 107.99 90.00°
Space group P2_1/m (No. 11)
One atom of each set of equivalent atoms:
Ac (0.1886, 0.2500, 0.3286) x2
Co (0.3261, 0.0005, 0.7887) x4
Ge (0.3270, 0.7500, 0.0883) x2
H (0.1371, 0.2500, 0.7141) x2
H (0.2794, 0.7500, 0.6154) x2

Record 21
A relaxed structure of Ac2Co2Ge2H. Source: the Alexandria database, functional GGA-PBE.

## Properties
Raw total energy (eV/atom): -5.462
DOS(E_F) (states/eV/f.u.): 4.82
V (Å³/f.u.): 136.5

Cell: 11.3022 4.1633 7.3916 Å, 90.00 128.27 90.00°
Space group C2/m (No. 12)
One atom of each set of equivalent atoms:
Ac (0.0473, 0.0000, 0.2939) x4
Co (0.1902, 0.5000, 0.0746) x4
Ge (0.1959, 0.5000, 0.7569) x4
H (0.0000, 0.5000, 0.0000) x2